No. 1
## SbPd15 (PBE)

Data for a geometry-optimized SbPd15 structure.

Computed properties:
For the distance to the lowest polymorph of the same formula, the calculation gives 0.0695 eV/atom.

Unit cell a=7.7597 b=2.8079 c=35.1752 alpha=90.00 beta=90.01 gamma=90.00
Element x y z (fractional)
Sb 0.1250 0.2500 0.2982
Sb 0.8750 0.7500 0.7018
Pd 0.1227 0.2500 0.7391
Pd 0.1233 0.2500 0.8213
Pd 0.1254 0.2500 0.0590
Pd 0.1250 0.2500 0.1386
Pd 0.1249 0.2500 0.2187
Pd 0.1246 0.2500 0.9009
Pd 0.1256 0.2500 0.9800
Pd 0.3732 0.7500 0.1787
Pd 0.3726 0.7500 0.2609
Pd 0.3745 0.7500 0.0992
Pd 0.3750 0.7500 0.7032
Pd 0.3750 0.7500 0.7816
Pd 0.3751 0.7500 0.8606
Pd 0.3755 0.7500 0.9402
Pd 0.3755 0.7500 0.0197
Pd 0.6245 0.2500 0.9803
Pd 0.6245 0.2500 0.0598
Pd 0.6249 0.2500 0.1394
Pd 0.6250 0.2500 0.2184
Pd 0.6250 0.2500 0.2968
Pd 0.6255 0.2500 0.9008
Pd 0.6274 0.2500 0.7391
Pd 0.6268 0.2500 0.8213
Pd 0.8744 0.7500 0.0200
Pd 0.8754 0.7500 0.0991
Pd 0.8751 0.7500 0.7813
Pd 0.8750 0.7500 0.8614
Pd 0.8746 0.7500 0.9410
Pd 0.8767 0.7500 0.1787
Pd 0.8773 0.7500 0.2609



No. 2
## Tm3Zn3PtAu2 (PBE)

Data for a geometry-optimized Tm3Zn3PtAu2 structure.

Computed properties:
As for the formation energy: -0.78 eV/atom.

Unit cell a=7.3287 b=7.3287 c=3.8690 alpha=90.00 beta=90.00 gamma=120.00
Element x y z (fractional)
Tm 0.0000 0.3952 0.0000
Tm 0.3952 0.0000 0.0000
Tm 0.6048 0.6048 0.0000
Zn 0.0000 0.7504 0.5000
Zn 0.2496 0.2496 0.5000
Zn 0.7504 0.0000 0.5000
Pt 0.0000 0.0000 0.0000
Au 0.3333 0.6667 0.5000
Au 0.6667 0.3333 0.5000



No. 3
## SmErAsO (PBE)

Data for a geometry-optimized SmErAsO structure.

Computed properties:
For the distance to the lowest polymorph of the same formula, the calculation gives 0.0659 eV/atom.

Unit cell a=4.3656 b=4.3656 c=8.8843 alpha=90.00 beta=90.00 gamma=90.00
Element x y z (fractional)
Sm 0.2500 0.2500 0.1078
Sm 0.7500 0.7500 0.8922
Er 0.2500 0.7500 0.5000
Er 0.7500 0.2500 0.5000
As 0.2500 0.2500 0.6989
As 0.7500 0.7500 0.3011
O 0.2500 0.7500 0.0000
O 0.7500 0.2500 0.0000



No. 4
## LaMgZrIr (PBE)

Data for a geometry-optimized LaMgZrIr structure.

Computed properties:
For the distance to the lowest polymorph of the same formula, the calculation gives 0.0231 eV/atom.

Unit cell a=5.0228 b=5.0228 c=5.0228 alpha=60.00 beta=60.00 gamma=60.00
Element x y z (fractional)
La 0.0000 0.0000 0.0000
Mg 0.7500 0.7500 0.7500
Zr 0.5000 0.5000 0.5000
Ir 0.2500 0.2500 0.2500